Record 1
The following is a PBE calculation of La4CuSeBr2 after structural relaxation, from Alexandria.

The structure in POSCAR format:
```
La4CuSeBr2
1.0
7.574 0.000 0.000
0.000 4.237 0.000
-2.434 0.000 7.285
La Cu Se Br
4 1 1 2
Cartesian
1.217 0.000 1.613
0.063 2.119 5.629
5.077 2.119 1.656
3.923 0.000 5.672
0.000 2.119 0.000
3.787 0.000 0.000
-1.217 0.000 3.642
2.570 2.119 3.642
```

Output
**Crystal system**: monoclinic
**SG**: P2/m

***

Record 2
The following is a PBE calculation of LaCuSeBr2 after structural relaxation, from Alexandria.

The structure in POSCAR format:
```
LaCuSeBr2
1.0
4.909 0.000 0.000
0.000 4.909 0.000
0.000 0.000 5.219
La Cu Se Br
1 1 1 2
Cartesian
0.000 0.000 0.000
2.455 2.455 2.609
2.455 2.455 0.000
0.000 2.455 2.609
2.455 0.000 2.609
```

Output
**Crystal system**: tetragonal
**Excess energy over the best structure of this formula in the dataset**: 0.00 kcal/mol of atoms
**SG**: P4/mmm

***

no.,E_form (uncorrected) (eV/atom),N(E_F) (states/eV per atom),M_tot (μB/atom)
1,-1.1878,0.840,0.000
2,-0.8657,0.916,0.046